Entry 1:
A relaxed Rb3ZrSn2Te6 crystal. Source: Alexandria via LeMat-Bulk, functional PBE-GGA.

Cell lengths 7.830, 7.830, 8.846 Å; angles 98.49, 98.49, 120.00 degrees
Positions (direct):
Rb (0.000, 0.000, 0.000)
Rb (0.327, 0.673, 0.000)
Rb (0.673, 0.327, 0.000)
Zr (0.500, 0.500, 0.500)
Sn (0.166, 0.834, 0.500)
Sn (0.834, 0.166, 0.500)
Te (0.122, 0.436, 0.308)
Te (0.251, 0.251, 0.694)
Te (0.436, 0.122, 0.308)
Te (0.564, 0.878, 0.692)
Te (0.749, 0.749, 0.306)
Te (0.878, 0.564, 0.692)

Summary:
Energy in Ry per atom: -0.290
Theoretical density in g cm⁻³: 5.00
Uncorrected formation energy in eV per atom: -0.752
Fermi-level density of states in states/eV/cell: 5.02
V in Å³ per cell: 448.7

Entry 2:
A relaxed RbZrSnTe2 crystal. Source: Alexandria via LeMat-Bulk, functional PBE-GGA.

Cell lengths 5.727, 5.727, 5.665 Å; angles 90.00, 90.00, 90.00 degrees
Positions (direct):
Rb (0.000, 0.000, 0.000)
Zr (0.500, 0.500, 0.500)
Sn (0.500, 0.500, 0.000)
Te (0.000, 0.500, 0.500)
Te (0.500, 0.000, 0.500)

Summary:
Energy in Ry per atom: -0.326
Theoretical density in g cm⁻³: 4.92
Uncorrected formation energy in eV per atom: -0.475
Fermi-level density of states in states/eV/cell: 3.54
V in Å³ per cell: 185.8